[1]
Entry from Alexandria: crystalline BaCoPt2 at its relaxed geometry (GGA-PBE).

## Properties
DOS(E_F) (states/eV per cell): 4.96
DFT formation energy (eV per atom): 0.3169

Lattice parameters (Å, degrees): 5.1982 5.1982 3.1548 90.00 90.00 110.06
Fractional coordinates of all 4 atoms:
Ba: 0.0000 0.0000 0.0000
Co: 0.5000 0.5000 0.0000
Pt: 0.0000 0.5000 0.5000
Pt: 0.5000 0.0000 0.5000



[2]
Entry from Alexandria: crystalline BaCoPt2 at its relaxed geometry (GGA-PBE).

## Properties
DOS(E_F) (states/eV per cell): 6.45
DFT formation energy (eV per atom): 0.2849

Lattice parameters (Å, degrees): 4.2695 4.2695 4.3745 90.00 90.00 90.00
Fractional coordinates of all 4 atoms:
Ba: 0.0000 0.0000 0.0000
Co: 0.5000 0.5000 0.0000
Pt: 0.0000 0.5000 0.5000
Pt: 0.5000 0.0000 0.5000



[3]
Entry from Alexandria: crystalline BaCo2Pt at its relaxed geometry (GGA-PBE).

## Properties
DOS(E_F) (states/eV per cell): 8.15
DFT formation energy (eV per atom): 0.6761

Lattice parameters (Å, degrees): 4.3338 4.3338 3.9765 90.00 90.00 90.00
Fractional coordinates of all 4 atoms:
Ba: 0.0000 0.0000 0.0000
Co: 0.0000 0.5000 0.5000
Co: 0.5000 0.0000 0.5000
Pt: 0.5000 0.5000 0.0000



[4]
Entry from Alexandria: crystalline BaCoPt3 at its relaxed geometry (GGA-PBE).

## Properties
DOS(E_F) (states/eV per cell): 3.88
DFT formation energy (eV per atom): 0.0435

Lattice parameters (Å, degrees): 4.7784 4.7784 4.7784 90.00 90.00 90.00
Fractional coordinates of all 5 atoms:
Ba: 0.0000 0.0000 0.0000
Co: 0.5000 0.5000 0.5000
Pt: 0.0000 0.5000 0.5000
Pt: 0.5000 0.0000 0.5000
Pt: 0.5000 0.5000 0.0000



[5]
Entry from Alexandria: crystalline BaCo2Pt at its relaxed geometry (GGA-PBE).

## Properties
DOS(E_F) (states/eV per cell): 8.22
DFT formation energy (eV per atom): 0.6502

Lattice parameters (Å, degrees): 4.7008 4.7008 4.7008 60.00 60.00 60.00
Fractional coordinates of all 4 atoms:
Ba: 0.0000 0.0000 0.0000
Co: 0.2500 0.2500 0.2500
Co: 0.7500 0.7500 0.7500
Pt: 0.5000 0.5000 0.5000



[6]
Entry from Alexandria: crystalline BaCo2Pt at its relaxed geometry (GGA-PBE).

## Properties
DOS(E_F) (states/eV per cell): 5.45
DFT formation energy (eV per atom): 0.5675

Lattice parameters (Å, degrees): 5.5401 5.5401 5.5401 142.86 122.19 70.73
Fractional coordinates of all 4 atoms:
Ba: 0.0000 0.0000 0.0000
Co: 0.3046 0.8046 0.5000
Co: 0.6954 0.1954 0.5000
Pt: 0.5000 0.5000 0.0000



[7]
Entry from Alexandria: crystalline BaCo2Pt at its relaxed geometry (GGA-PBE).

## Properties
DOS(E_F) (states/eV per cell): 5.42
DFT formation energy (eV per atom): -0.0880

Lattice parameters (Å, degrees): 6.0440 6.0440 6.0440 41.60 41.60 41.60
Fractional coordinates of all 4 atoms:
Ba: 0.0000 0.0000 0.0000
Co: 0.1820 0.1820 0.1820
Co: 0.8180 0.8180 0.8180
Pt: 0.5000 0.5000 0.5000



[8]
Entry from Alexandria: crystalline BaCoPt2 at its relaxed geometry (GGA-PBE).

## Properties
DOS(E_F) (states/eV per cell): 3.17
DFT formation energy (eV per atom): -0.1687

Lattice parameters (Å, degrees): 4.8331 4.4132 4.8388 90.00 90.15 90.00
Fractional coordinates of all 4 atoms:
Ba: 0.0000 0.0000 0.0000
Co: 0.2852 0.5000 0.5008
Pt: 0.4978 0.0000 0.5002
Pt: 0.8003 0.5000 0.4991



[9]
Entry from Alexandria: crystalline BaCo2Pt at its relaxed geometry (GGA-PBE).

## Properties
DOS(E_F) (states/eV per cell): 4.81
DFT formation energy (eV per atom): 0.2942

Lattice parameters (Å, degrees): 3.1505 3.1505 7.5566 90.00 90.00 90.00
Fractional coordinates of all 4 atoms:
Ba: 0.0000 0.0000 0.0000
Co: 0.0000 0.0000 0.4723
Co: 0.5000 0.5000 0.3379
Pt: 0.5000 0.5000 0.6771



[10]
Entry from Alexandria: crystalline BaCo2Pt at its relaxed geometry (GGA-PBE).

## Properties
DOS(E_F) (states/eV per cell): 9.70
DFT formation energy (eV per atom): 0.1678

Lattice parameters (Å, degrees): 9.3348 9.3348 9.3348 150.85 150.85 41.70
Fractional coordinates of all 8 atoms:
Ba: 0.3750 0.6250 0.7500
Ba: 0.6250 0.3750 0.2500
Co: 0.0000 0.0000 0.0000
Co: 0.0000 0.0000 0.5000
Co: 0.0000 0.5000 0.0000
Co: 0.5000 0.0000 0.5000
Pt: 0.1250 0.8750 0.2500
Pt: 0.8750 0.1250 0.7500



[11]
Entry from Alexandria: crystalline BaCoPt2 at its relaxed geometry (GGA-PBE).

## Properties
DOS(E_F) (states/eV per cell): 3.76
DFT formation energy (eV per atom): 0.6169

Lattice parameters (Å, degrees): 9.9159 9.9159 9.9159 17.59 17.59 17.59
Fractional coordinates of all 4 atoms:
Ba: 0.0000 0.0000 0.0000
Co: 0.2349 0.2349 0.2349
Pt: 0.5044 0.5044 0.5044
Pt: 0.7605 0.7605 0.7605



[12]
Entry from Alexandria: crystalline BaCoPt2 at its relaxed geometry (GGA-PBE).

## Properties
DOS(E_F) (states/eV per cell): 4.97
DFT formation energy (eV per atom): 0.3251

Lattice parameters (Å, degrees): 5.2761 5.2761 5.2761 131.30 131.30 71.34
Fractional coordinates of all 4 atoms:
Ba: 0.0000 0.0000 0.0000
Co: 0.5000 0.5000 0.0000
Pt: 0.2500 0.7500 0.5000
Pt: 0.7500 0.2500 0.5000



Q: Which value of DFT formation energy does entry 5 give?
A: 0.6502 eV per atom